Entry 1:
## Ba2CrCuSi (SCAN)

Data for a crystal of Ba2CrCuSi relaxed with PBEsol.

```
Ba2CrCuSi
1.0
5.9991 0.0000 0.0000
0.0000 5.9991 0.0000
0.0000 0.0000 4.5006
Ba Cr Cu Si
2 1 1 1
Cartesian
0.0000 2.9995 0.0000
2.9995 0.0000 0.0000
0.0000 0.0000 0.0000
0.0000 0.0000 2.2503
2.9995 2.9995 2.2503
```

Calculated values
DOS(E_F), states/eV/cell: 3.3
Formation energy from raw total energies, meV per atom: 639
Total energy, eV per atom: -23.90
Crystal system: tetragonal
V, Å³ per cell: 162
M_tot, μB/f.u.: 5.12
Space group: P4/mmm, No. 123

=====

Entry 2:
## Ba4CrGa2S6F4 (SCAN)

Data for a crystal of Ba4CrGa2S6F4 relaxed with PBEsol.

```
Ba4CrGa2S6F4
1.0
12.9563 0.0000 0.0000
0.0000 18.3879 0.0000
0.0000 0.0000 6.1253
Ba Cr Ga S F
16 4 8 24 16
Cartesian
0.0056 1.4414 1.4842
0.0056 7.7526 1.4842
12.9507 10.6353 4.6411
12.9507 16.9465 4.6411
3.2275 1.4412 4.7269
3.2275 7.7528 4.7269
3.2506 10.6351 1.6643
3.2506 16.9467 1.6643
6.4837 1.4414 1.5784
6.4837 7.7526 1.5784
6.4726 10.6353 4.5469
6.4726 16.9465 4.5469
9.7056 1.4412 4.4611
9.7056 7.7528 4.4611
9.7288 10.6351 1.3984
9.7288 16.9467 1.3984
1.6179 4.5970 3.0857
4.8602 13.7909 0.0230
8.0960 4.5970 6.1023
11.3384 13.7909 3.0397
0.6727 13.7909 0.9399
2.5848 13.7909 4.0266
3.8933 4.5970 0.9639
5.8054 4.5970 4.0025
7.1508 13.7909 2.1228
9.0630 13.7909 5.1614
10.3714 4.5970 2.0987
12.2836 4.5970 5.1855
0.3880 2.8058 4.3470
0.3880 6.3882 4.3470
0.4261 13.7909 4.7785
2.8206 13.7909 1.7381
2.8466 2.8055 1.8233
2.8466 6.3885 1.8233
3.6315 11.9994 4.8860
3.6315 15.5824 4.8860
3.6575 4.5970 4.8007
6.0521 4.5970 1.7158
6.0901 11.9997 1.2843
6.0901 15.5821 1.2843
6.8662 2.8058 4.8410
6.8662 6.3882 4.8410
6.9042 13.7909 4.4095
9.2988 13.7909 1.3246
9.3248 2.8055 1.2394
9.3248 6.3885 1.2394
10.1096 11.9994 4.3020
10.1096 15.5824 4.3020
10.1356 4.5970 4.3873
12.5302 4.5970 1.3469
12.5682 11.9997 1.7783
12.5682 15.5821 1.7783
1.6184 9.2183 3.1474
1.6258 9.2677 0.0837
1.6258 18.3141 0.0837
1.6184 18.3636 3.1474
4.8597 0.0243 0.0848
4.8523 0.0738 3.1464
4.8523 9.1202 3.1464
4.8597 9.1696 0.0848
8.0965 9.2183 6.0406
8.1039 9.2677 2.9790
8.1039 18.3141 2.9790
8.0965 18.3636 6.0406
11.3379 0.0243 2.9779
11.3304 0.0738 6.0416
11.3304 9.1202 6.0416
11.3379 9.1696 2.9779
```

Calculated values
Formation energy from raw total energies, meV per atom: -2425
Total energy, eV per atom: -18.97
Crystal system: orthorhombic
V, Å³ per cell: 1459
M_tot, μB/f.u.: 4.00
Space group: Pnma, No. 62

=====

Entry 3:
## BaLiCrF6 (SCAN)

Data for a crystal of BaLiCrF6 relaxed with PBEsol.

```
BaLiCrF6
1.0
5.3710 0.0000 0.0000
0.0000 10.3438 0.0000
-0.1654 0.0000 8.5869
Ba Li Cr F
4 4 4 24
Cartesian
0.9747 1.9245 4.2556
0.8920 3.2474 8.5491
4.3137 7.0963 0.0378
4.2310 8.4193 4.3313
1.3507 6.0813 2.7701
1.2681 9.4343 7.0636
3.9376 0.9094 1.5233
3.8549 4.2625 5.8168
1.2739 6.0797 6.2975
1.3566 9.4359 2.0040
3.8490 0.9079 6.5829
3.9317 4.2640 2.2894
0.0973 0.0535 5.9972
0.1800 5.1184 1.7037
0.5056 7.7269 2.2329
0.4230 7.7888 6.5264
0.7564 6.2501 4.4937
0.8391 9.2655 0.2003
1.6513 6.1270 8.1659
1.7340 9.3886 3.8724
2.0819 0.8567 1.7879
1.9992 4.3152 6.0814
2.1433 1.6443 6.9201
2.2260 3.5276 2.6266
2.9797 6.8162 5.9603
3.0624 8.6995 1.6668
3.2064 6.0286 2.5056
3.1238 9.4871 6.7990
3.4717 0.9552 4.7145
3.5543 4.2167 0.4210
4.3666 1.0782 8.3867
4.4493 4.0937 4.0932
4.7827 2.5550 2.0606
4.7000 2.6169 6.3540
5.0257 5.2254 6.8832
5.1084 10.2902 2.5897
```

Calculated values
DOS(E_F), states/eV/cell: 0.0
Formation energy from raw total energies, meV per atom: -3523
Total energy, eV per atom: -12.59
Crystal system: monoclinic
V, Å³ per cell: 477
M_tot, μB/f.u.: 3.00
Space group: P2_1/c, No. 14

=====

> Which value of formation energy from raw total energies does entry 3 give?

-3523 meV per atom

=====

Copy entry 1 word for word.
## Ba2CrCuSi (SCAN)

Data for a crystal of Ba2CrCuSi relaxed with PBEsol.

```
Ba2CrCuSi
1.0
5.9991 0.0000 0.0000
0.0000 5.9991 0.0000
0.0000 0.0000 4.5006
Ba Cr Cu Si
2 1 1 1
Cartesian
0.0000 2.9995 0.0000
2.9995 0.0000 0.0000
0.0000 0.0000 0.0000
0.0000 0.0000 2.2503
2.9995 2.9995 2.2503
```

Calculated values
DOS(E_F), states/eV/cell: 3.3
Formation energy from raw total energies, meV per atom: 639
Total energy, eV per atom: -23.90
Crystal system: tetragonal
V, Å³ per cell: 162
M_tot, μB/f.u.: 5.12
Space group: P4/mmm, No. 123

=====

> Which value of M_tot does entry 3 give?

3.00 μB/f.u.

=====

> What is the V in the first record?

162 Å³ per cell